DFT (PBE) results for a relaxed KScTi2Cl crystal.

Structure (CIF):
```
data_KScTi2Cl
_chemical_formula_sum 'K1 Sc1 Ti2 Cl1'
_cell_length_a 4.8381
_cell_length_b 5.9329
_cell_length_c 4.8381
_cell_angle_alpha 90.00
_cell_angle_beta 90.00
_cell_angle_gamma 90.00
_space_group_name_H-M_alt 'P 1'
_space_group_IT_number 1
loop_
_space_group_symop_operation_xyz
'x,y,z'
loop_
_atom_site_label
_atom_site_fract_x
_atom_site_fract_y
_atom_site_fract_z
_atom_site_occupancy
Sc1 0.0000 0.0000 0.0000 1
K1 0.5000 0.5000 0.5000 1
Cl1 0.0000 0.5000 0.0000 1
Ti1 0.0000 0.0000 0.5000 1
Ti2 0.5000 0.0000 0.0000 1
```

Summary:
The value obtained for the total energy is -4.254 eV per atom. For the uncorrected formation energy, the calculation gives 73 kJ per mole of atoms.

DFT (PBE) results for a relaxed InSi2Pt2 crystal.

Structure (CIF):
```
data_InSi2Pt2
_chemical_formula_sum 'In1 Si2 Pt2'
_cell_length_a 3.8485
_cell_length_b 3.8485
_cell_length_c 6.5160
_cell_angle_alpha 72.82
_cell_angle_beta 72.82
_cell_angle_gamma 90.00
_space_group_name_H-M_alt 'P 1'
_space_group_IT_number 1
loop_
_space_group_symop_operation_xyz
'x,y,z'
loop_
_atom_site_label
_atom_site_fract_x
_atom_site_fract_y
_atom_site_fract_z
_atom_site_occupancy
Si1 0.7500 0.2500 0.5000 1
Si2 0.2500 0.7500 0.5000 1
Pt1 0.3747 0.3747 0.2506 1
Pt2 0.6253 0.6253 0.7494 1
In1 0.0000 0.0000 0.0000 1
```

Summary:
The value obtained for the total energy is -5.549 eV per atom. For the uncorrected formation energy, the calculation gives -40 kJ per mole of atoms.

DFT (PBE) results for a relaxed Er2ThAl crystal.

Structure (CIF):
```
data_Er2ThAl
_chemical_formula_sum 'Er2 Th1 Al1'
_cell_length_a 5.3406
_cell_length_b 5.3406
_cell_length_c 5.3406
_cell_angle_alpha 60.00
_cell_angle_beta 60.00
_cell_angle_gamma 60.00
_space_group_name_H-M_alt 'P 1'
_space_group_IT_number 1
loop_
_space_group_symop_operation_xyz
'x,y,z'
loop_
_atom_site_label
_atom_site_fract_x
_atom_site_fract_y
_atom_site_fract_z
_atom_site_occupancy
Al1 0.0000 0.0000 0.0000 1
Th1 0.5000 0.5000 0.5000 1
Er1 0.2500 0.2500 0.2500 1
Er2 0.7500 0.7500 0.7500 1
```

Summary:
The value obtained for the total energy is -5.000 eV per atom. The calculation puts the energy above the most stable polymorph in this dataset at 0.2619 eV/atom. Its energy relative to the elements is 0.29 eV/f.u.

DFT (PBE) results for a relaxed MgTcOs2 crystal.

Structure (CIF):
```
data_MgTcOs2
_chemical_formula_sum 'Mg1 Tc1 Os2'
_cell_length_a 4.0114
_cell_length_b 2.7814
_cell_length_c 5.9776
_cell_angle_alpha 62.50
_cell_angle_beta 90.00
_cell_angle_gamma 90.00
_space_group_name_H-M_alt 'P 1'
_space_group_IT_number 1
loop_
_space_group_symop_operation_xyz
'x,y,z'
loop_
_atom_site_label
_atom_site_fract_x
_atom_site_fract_y
_atom_site_fract_z
_atom_site_occupancy
Mg1 0.5000 0.7459 0.7535 1
Os1 0.0000 0.0057 0.9967 1
Os2 0.5000 0.2489 0.2523 1
Tc1 0.0000 0.4995 0.4975 1
```

Summary:
The value obtained for the total energy is -8.344 eV per atom. Its energy relative to the elements is 1.04 eV/f.u.